(1)
VASP calculation (PBE-GGA) on crystalline ScZnPd at its relaxed geometry.

Calculated values
The formation enthalpy at 0 K is -202 kJ/mol of formula units. Its space-group type is Pnma, No. 62.

a = 6.565 Å, b = 4.000 Å, c = 8.027 Å
α = 90.00°, β = 90.00°, γ = 90.00°
Positions (direct):
Pd: 0.258 0.250 0.871
Pd: 0.758 0.250 0.629
Pd: 0.742 0.750 0.129
Pd: 0.242 0.750 0.371
Sc: 0.049 0.750 0.685
Sc: 0.451 0.250 0.185
Sc: 0.549 0.750 0.815
Sc: 0.951 0.250 0.315
Zn: 0.637 0.750 0.442
Zn: 0.137 0.750 0.058
Zn: 0.863 0.250 0.942
Zn: 0.363 0.250 0.558

(2)
VASP calculation (PBE-GGA) on crystalline TaNiHgB at its relaxed geometry.

Calculated values
The total energy comes out at -5.015 eV per atom. Its space-group type is F-43m, No. 216.

a = 4.380 Å, b = 4.380 Å, c = 4.380 Å
α = 60.00°, β = 60.00°, γ = 60.00°
Positions (direct):
B: 0.000 0.000 0.000
Hg: 0.250 0.250 0.250
Ta: 0.500 0.500 0.500
Ni: 0.750 0.750 0.750

(3)
VASP calculation (PBE-GGA) on crystalline ReAgSb2 at its relaxed geometry.

Calculated values
The total energy comes out at -4.904 eV per atom. Its space-group type is F-43m, No. 216.

a = 4.872 Å, b = 4.872 Å, c = 4.872 Å
α = 60.00°, β = 60.00°, γ = 60.00°
Positions (direct):
Ag: 0.500 0.500 0.500
Re: 0.750 0.750 0.750
Sb: 0.000 0.000 0.000
Sb: 0.250 0.250 0.250

(4)
VASP calculation (PBE-GGA) on crystalline Sr2ScIr at its relaxed geometry.

Calculated values
The total energy comes out at -4.440 eV per atom. Its space-group type is F-43m, No. 216.

a = 5.232 Å, b = 5.232 Å, c = 5.232 Å
α = 60.00°, β = 60.00°, γ = 60.00°
Positions (direct):
Sr: 0.750 0.750 0.750
Sr: 0.500 0.500 0.500
Ir: 0.250 0.250 0.250
Sc: 0.000 0.000 0.000

Number 1: calculated density 6.832 g cm⁻³. Number 2: calculated density 12.609 g cm⁻³. Number 3: calculated density 10.914 g cm⁻³. Number 4: calculated density 6.761 g cm⁻³.